Run P
The following is a PBE-GGA calculation of Pu2TeAu after structural relaxation, from the Alexandria database.

Lattice parameters (Å, degrees): 5.2585 5.2585 5.2585 60.00 60.00 60.00
With the nearest neighbours (Å) after each atom.
Sites, in units of the cell vectors:
Pu 0.2500 0.2500 0.2500  4 Te 3.22, 4 Au 3.22
Pu 0.7500 0.7500 0.7500  4 Te 3.22, 4 Au 3.22
Te 0.0000 0.0000 0.0000  8 Pu 3.22
Au 0.5000 0.5000 0.5000  8 Pu 3.22

space-group type = Fm-3m

Run Q
The following is a PBE-GGA calculation of Pu2TeAu after structural relaxation, from the Alexandria database.

Lattice parameters (Å, degrees): 7.8835 7.8835 7.8835 31.38 31.38 31.38
With the nearest neighbours (Å) after each atom.
Sites, in units of the cell vectors:
Pu 0.2444 0.2444 0.2444  3 Au 3.02, 3 Te 3.17
Pu 0.7556 0.7556 0.7556  3 Au 3.02, 3 Te 3.17
Te 0.0000 0.0000 0.0000  6 Pu 3.17
Au 0.5000 0.5000 0.5000  6 Pu 3.02

space-group type = R-3m

Run R
The following is a PBE-GGA calculation of Pu2TeAu after structural relaxation, from the Alexandria database.

Lattice parameters (Å, degrees): 5.1126 5.1126 3.9154 90.00 90.00 90.00
With the nearest neighbours (Å) after each atom.
Sites, in units of the cell vectors:
Pu 0.0000 0.5000 0.0000  4 Te 3.22, 4 Au 3.22
Pu 0.5000 0.0000 0.0000  4 Te 3.22, 4 Au 3.22
Te 0.0000 0.0000 0.5000  8 Pu 3.22
Au 0.5000 0.5000 0.5000  8 Pu 3.22

space-group type = P4/mmm

Most favorable structure: run R. The second most favorable one is 22 meV per atom above it.

Run P
The following is a PBE-GGA calculation of Pu2ThAu after structural relaxation, from the Alexandria database.

Lattice parameters (Å, degrees): 4.4182 4.4182 5.3021 90.00 90.00 90.00
With the nearest neighbours (Å) after each atom.
Sites, in units of the cell vectors:
Pu 0.0000 0.5000 0.0000  4 Pu 3.12, 4 Th 3.45, 4 Au 3.45
Pu 0.5000 0.0000 0.0000  4 Pu 3.12, 4 Th 3.45, 4 Au 3.45
Th 0.0000 0.0000 0.5000  4 Au 3.12, 8 Pu 3.45
Au 0.5000 0.5000 0.5000  4 Th 3.12, 8 Pu 3.45

space-group type = P4/mmm

Run Q
The following is a PBE-GGA calculation of Pu2ThAu after structural relaxation, from the Alexandria database.

Lattice parameters (Å, degrees): 3.7067 3.7067 7.6591 90.00 90.00 90.00
With the nearest neighbours (Å) after each atom.
Sites, in units of the cell vectors:
Pu 0.0000 0.0000 0.2170  4 Au 3.10, 1 Pu 3.32, 4 Th 3.40
Pu 0.0000 0.0000 0.7830  4 Au 3.10, 1 Pu 3.32, 4 Th 3.40
Th 0.5000 0.5000 0.5000  8 Pu 3.40, 4 Th 3.71
Au 0.5000 0.5000 0.0000  8 Pu 3.10

space-group type = P4/mmm

Most favorable structure: run P. The second most favorable one is 43 meV per atom above it.

Run P
The following is a PBE-GGA calculation of PuTh2Au after structural relaxation, from the Alexandria database.

Lattice parameters (Å, degrees): 5.4697 5.4697 3.5244 90.00 90.00 90.00
With the nearest neighbours (Å) after each atom.
Sites, in units of the cell vectors:
Pu 0.0000 0.0000 0.0000  8 Th 3.25, 2 Pu 3.52
Th 0.0000 0.5000 0.5000  4 Pu 3.25, 4 Au 3.25, 2 Th 3.52
Th 0.5000 0.0000 0.5000  4 Pu 3.25, 4 Au 3.25, 2 Th 3.52
Au 0.5000 0.5000 0.0000  8 Th 3.25, 2 Au 3.52

space-group type = P4/mmm

Run Q
The following is a PBE-GGA calculation of PuTh2Au after structural relaxation, from the Alexandria database.

Lattice parameters (Å, degrees): 5.2923 5.2923 5.2923 60.00 60.00 60.00
With the nearest neighbours (Å) after each atom.
Sites, in units of the cell vectors:
Pu 0.0000 0.0000 0.0000  8 Th 3.24
Th 0.2500 0.2500 0.2500  4 Au 3.24, 4 Pu 3.24
Th 0.7500 0.7500 0.7500  4 Pu 3.24, 4 Au 3.24
Au 0.5000 0.5000 0.5000  8 Th 3.24

space-group type = Fm-3m

Run R
The following is a PBE-GGA calculation of PuTh2Au after structural relaxation, from the Alexandria database.

Lattice parameters (Å, degrees): 10.1755 10.1755 10.1755 20.59 20.59 20.59
With the nearest neighbours (Å) after each atom.
Sites, in units of the cell vectors:
Pu 0.0000 0.0000 0.0000  6 Th 3.35-3.43, 6 Pu 3.64
Th 0.2423 0.2423 0.2423  3 Au 3.15, 3 Pu 3.43
Th 0.4207 0.4207 0.4207  3 Au 3.10, 3 Pu 3.35
Au 0.8303 0.8303 0.8303  6 Th 3.10-3.15

space-group type = R3m

Most favorable structure: run P. The second most favorable one is 125 meV per atom above it.

Run P
The following is a PBE-GGA calculation of PuThAu2 after structural relaxation, from the Alexandria database.

Lattice parameters (Å, degrees): 3.8620 4.6912 6.0091 90.00 108.44 90.00
With the nearest neighbours (Å) after each atom.
Sites, in units of the cell vectors:
Pu 0.0000 0.0000 0.0000  7 Au 3.09-3.25
Th 0.2852 0.5000 0.5764  7 Au 3.11-3.23
Au 0.5608 0.5000 0.1239  2 Au 3.02, 4 Pu 3.12, 3 Th 3.12-3.23
Au 0.7267 0.0000 0.4577  2 Au 3.02, 3 Pu 3.09-3.25, 4 Th 3.11

space-group type = Pm

Run Q
The following is a PBE-GGA calculation of PuThAu2 after structural relaxation, from the Alexandria database.

Lattice parameters (Å, degrees): 8.1187 8.1187 8.1187 29.09 29.09 29.09
With the nearest neighbours (Å) after each atom.
Sites, in units of the cell vectors:
Pu 0.0000 0.0000 0.0000  6 Au 3.08
Th 0.5000 0.5000 0.5000  6 Au 3.03
Au 0.2482 0.2482 0.2482  3 Th 3.03, 3 Pu 3.08
Au 0.7518 0.7518 0.7518  3 Th 3.03, 3 Pu 3.08

space-group type = R-3m

Run R
The following is a PBE-GGA calculation of PuThAu2 after structural relaxation, from the Alexandria database.

Lattice parameters (Å, degrees): 5.2072 5.2072 5.2072 60.00 60.00 60.00
With the nearest neighbours (Å) after each atom.
Sites, in units of the cell vectors:
Pu 0.0000 0.0000 0.0000  8 Au 3.19
Th 0.5000 0.5000 0.5000  8 Au 3.19
Au 0.2500 0.2500 0.2500  4 Th 3.19, 4 Pu 3.19
Au 0.7500 0.7500 0.7500  4 Th 3.19, 4 Pu 3.19

space-group type = Fm-3m

Most favorable structure: run P. The second most favorable one is 13 meV per atom above it.

Run P
The following is a PBE-GGA calculation of PuThAu3 after structural relaxation, from the Alexandria database.

Lattice parameters (Å, degrees): 14.3650 14.3650 4.7819 90.00 90.00 166.23
With the nearest neighbours (Å) after each atom.
Sites, in units of the cell vectors:
Pu 0.2125 0.7875 0.7500  7 Au 3.11-3.16, 2 Pu 3.44
Pu 0.7875 0.2125 0.2500  7 Au 3.11-3.16, 2 Pu 3.44
Th 0.0734 0.9266 0.2500  12 Au 3.25-3.42, 2 Th 3.44
Th 0.9266 0.0734 0.7500  12 Au 3.25-3.42, 2 Th 3.44
Au 0.3231 0.6769 0.7500  2 Au 2.86, 5 Pu 3.12-3.16
Au 0.3784 0.6216 0.2500  3 Au 2.78-2.86
Au 0.4759 0.5241 0.2500  3 Au 2.76-2.78
Au 0.5241 0.4759 0.7500  3 Au 2.76-2.78
Au 0.6216 0.3784 0.7500  3 Au 2.78-2.86
Au 0.6769 0.3231 0.2500  2 Au 2.86, 5 Pu 3.12-3.16

space-group type = Cmcm

Run Q
The following is a PBE-GGA calculation of PuThAu3 after structural relaxation, from the Alexandria database.

Lattice parameters (Å, degrees): 8.6197 8.6197 7.4769 90.00 90.00 63.61
With the nearest neighbours (Å) after each atom.
Sites, in units of the cell vectors:
Pu 0.0036 0.9964 0.7500  1 Pu 2.60
Pu 0.2822 0.7178 0.2500  1 Pu 2.60
Pu 0.7178 0.2822 0.7500  1 Pu 2.60
Pu 0.9964 0.0036 0.2500  1 Pu 2.60
Th 0.1838 0.3088 0.7500  8 Au 2.99-3.18
Th 0.3088 0.1838 0.2500  8 Au 2.99-3.18
Th 0.6912 0.8162 0.7500  8 Au 2.99-3.18
Th 0.8162 0.6912 0.2500  8 Au 2.99-3.18
Au 0.0547 0.6686 0.5505  2 Au 2.88-2.98, 3 Th 2.99-3.18, 2 Pu 3.05-3.13
Au 0.0547 0.6686 0.9495  2 Au 2.88-2.98, 3 Th 2.99-3.18, 2 Pu 3.05-3.13
Au 0.3314 0.9453 0.5505  2 Au 2.88-2.98, 3 Th 2.99-3.18, 2 Pu 3.05-3.13
Au 0.3314 0.9453 0.9495  2 Au 2.88-2.98, 3 Th 2.99-3.18, 2 Pu 3.05-3.13
Au 0.4033 0.4033 0.0000  3 Au 2.83-2.88, 2 Th 3.02, 2 Pu 3.07
Au 0.4033 0.4033 0.5000  3 Au 2.83-2.88, 2 Th 3.02, 2 Pu 3.07
Au 0.5967 0.5967 0.0000  3 Au 2.83-2.88, 2 Th 3.02, 2 Pu 3.07
Au 0.5967 0.5967 0.5000  3 Au 2.83-2.88, 2 Th 3.02, 2 Pu 3.07
Au 0.6686 0.0547 0.0505  2 Au 2.88-2.98, 3 Th 2.99-3.18, 2 Pu 3.05-3.13
Au 0.6686 0.0547 0.4495  2 Au 2.88-2.98, 3 Th 2.99-3.18, 2 Pu 3.05-3.13
Au 0.9453 0.3314 0.0505  2 Au 2.88-2.98, 3 Th 2.99-3.18, 2 Pu 3.05-3.13
Au 0.9453 0.3314 0.4495  2 Au 2.88-2.98, 3 Th 2.99-3.18, 2 Pu 3.05-3.13

space-group type = Cmcm

Most favorable structure: run P. The second most favorable one is 135 meV per atom above it.